Density functional theory data (GGA+U) for Mg2NbVO6 after structural relaxation.

For the total energy, the calculation gives -7.552 eV/atom. The total moment is 6.000 μB/cell.

It has space group R3 (No. 146, hexagonal axes), with a = 5.2082 Å, b = 5.2082 Å, c = 14.0880 Å, α = 90.00°, β = 90.00° and γ = 120.00°. Symmetry generates all atoms from Mg at (0.0000, 0.0000, 0.0000), Mg at (0.0000, 0.0000, 0.4931), Nb at (0.0000, 0.0000, 0.2063), V at (0.0000, 0.0000, 0.7058), O at (0.0389, 0.3490, 0.2724) and O at (0.0414, 0.6841, 0.7738).